Below is HoScBeCu after structural relaxation, with properties calculated at the PBE level.

```
HoScBeCu
1.0
0.000 3.329 3.329
3.329 0.000 3.329
3.329 3.329 0.000
Ho Sc Be Cu
1 1 1 1
direct
0.000 0.000 0.000
0.500 0.500 0.500
0.750 0.750 0.750
0.250 0.250 0.250
```

Calculated values
Energy of formation from the pure elements, eV/atom: -0.087

***

Below is HoBeCuSi2 after structural relaxation, with properties calculated at the PBE level.

```
HoBeCuSi2
1.0
-1.960 1.960 4.910
1.960 -1.960 4.910
1.960 1.960 -4.910
Ho Be Cu Si
1 1 1 2
direct
0.000 0.000 0.000
0.250 0.750 0.500
0.750 0.250 0.500
0.380 0.380 0.000
0.620 0.620 0.000
```

Calculated values
Formation energy without anion corrections, eV/atom: -0.47

***

Below is Ho2Be3CuSi4 after structural relaxation, with properties calculated at the PBE level.

```
Ho2Be3CuSi4
1.0
3.905 0.000 0.000
0.000 3.905 0.000
0.000 0.000 9.614
Ho Be Cu Si
2 3 1 4
direct
0.000 0.500 0.246
0.500 0.000 0.754
0.000 0.500 0.870
0.500 0.000 0.130
0.500 0.500 0.500
0.000 0.000 0.500
0.000 0.000 0.000
0.000 0.500 0.639
0.500 0.000 0.361
0.500 0.500 0.000
```

Calculated values
Formation energy without anion corrections, eV/atom: -0.41

***

Repeat the second record exactly.
Below is HoBeCuSi2 after structural relaxation, with properties calculated at the PBE level.

```
HoBeCuSi2
1.0
-1.960 1.960 4.910
1.960 -1.960 4.910
1.960 1.960 -4.910
Ho Be Cu Si
1 1 1 2
direct
0.000 0.000 0.000
0.250 0.750 0.500
0.750 0.250 0.500
0.380 0.380 0.000
0.620 0.620 0.000
```

Calculated values
Formation energy without anion corrections, eV/atom: -0.47